1.
Here is crystalline Li2Ni2Ir at its relaxed geometry from the Alexandria database. Energies are from PBE.

CIF file:
```
data_Li2Ni2Ir
_chemical_formula_sum 'Li4 Ni4 Ir2'
_cell_length_a 3.959
_cell_length_b 3.959
_cell_length_c 7.287
_cell_angle_alpha 90.00
_cell_angle_beta 90.00
_cell_angle_gamma 90.00
_symmetry_space_group_name_H-M 'I 4/m m m'
_symmetry_Int_Tables_number 139
_symmetry_space_group_name_Hall '-I 4 2'
loop_
_atom_site_label
_atom_site_type_symbol
_atom_site_fract_x
_atom_site_fract_y
_atom_site_fract_z
Li1 Li 0.000 0.000 0.122
Ni1 Ni 0.000 0.500 0.250
Ir1 Ir 0.000 0.000 0.500
```

## Properties
The crystal system is tetragonal. Its uncorrected energy is -4.494 eV per atom. As for the energy relative to the lowest polymorph listed for this composition: 295.0 meV per atom. The density of states at the Fermi level is 12.352 states/eV per cell. The value obtained for the formation energy is 0.3560 eV per atom.

***

2.
Here is crystalline Li3Ga2Au2 at its relaxed geometry from the Alexandria database. Energies are from PBE.

CIF file:
```
data_Li3Ga2Au2
_chemical_formula_sum 'Li6 Ga4 Au4'
_cell_length_a 7.738
_cell_length_b 4.436
_cell_length_c 6.861
_cell_angle_alpha 90.00
_cell_angle_beta 111.52
_cell_angle_gamma 90.00
_symmetry_space_group_name_H-M 'C 1 2/m 1'
_symmetry_Int_Tables_number 12
loop_
_symmetry_equiv_pos_as_xyz
'x,y,z'
'-x,-y,-z'
'-x,y,-z'
'x,-y,z'
'x+1/2,y+1/2,z'
'-x+1/2,-y+1/2,-z'
'-x+1/2,y+1/2,-z'
'x+1/2,-y+1/2,z'
loop_
_atom_site_label
_atom_site_type_symbol
_atom_site_fract_x
_atom_site_fract_y
_atom_site_fract_z
Li1 Li 0.000 0.000 0.000
Li2 Li 0.142 0.000 0.424
Ga1 Ga 0.220 0.500 0.159
Au1 Au 0.077 0.500 0.735
```

## Properties
The crystal system is monoclinic. Its uncorrected energy is -3.107 eV per atom. The density of states at the Fermi level is 4.292 states/eV per cell. The value obtained for the formation energy is -0.4858 eV per atom.